Computed, not measured: crystalline TiCrNi2O6 at its relaxed geometry at the PBE with a Hubbard U level of DFT.

Final energy in eV/cell: -65.2

Unit cell a=5.6022 b=5.6022 c=3.8480 alpha=90.00 beta=90.00 gamma=90.00
Closest atoms and distances in Å follow each position.
Space group P4mm (No. 99)
Unique sites:
Ti1 0.0000 0.0000 0.0000 x1  1 O 1.72
Cr1 0.5000 0.5000 0.0342 x1  5 O 1.81-1.98
Ni1 0.0000 0.5000 0.2011 x2  4 O 2.03
O1 0.0000 0.0000 0.5538 x1  1 Ti 1.72
O2 0.2510 0.2510 0.0824 x4  1 Cr 1.98, 1 Ti 2.01, 2 Ni 2.03
O3 0.5000 0.5000 0.5629 x1  1 Cr 1.81